## HfCdPd (PBE)

Data for a relaxed HfCdPd crystal.

DFT total energy (eV for the cell shown): -34.513
Formation energy (meV/atom): -410
Symmetry: No. 123

a = 3.464 Å, b = 3.464 Å, c = 9.307 Å
α = 90.00°, β = 90.00°, γ = 90.00°
Fractional coordinates of all 6 atoms:
Hf 0.000 0.000 0.000
Hf 0.500 0.500 0.500
Cd 0.000 0.000 0.319
Cd 0.000 0.000 0.681
Pd 0.500 0.500 0.157
Pd 0.500 0.500 0.843